This record from the Alexandria database describes a crystal of FeCoIr2 relaxed with PBEsol. The functional is meta-GGA SCAN.

```
FeCoIr2
1.0
-1.8221 1.8221 3.7109
1.8221 -1.8221 3.7109
1.8221 1.8221 -3.7109
Fe Co Ir
1 1 2
Direct
0.0000 0.0000 0.0000
0.2500 0.7500 0.5000
0.5000 0.5000 0.0000
0.7500 0.2500 0.5000
```

E (eV per atom): -44.49
Volume (Å³/cell): 49.3

This record from the Alexandria database describes a crystal of CdCu2W relaxed with PBEsol. The functional is meta-GGA SCAN.

```
CdCu2W
1.0
0.0000 3.0763 3.0763
3.0763 0.0000 3.0763
3.0763 3.0763 0.0000
Cd Cu W
1 2 1
Direct
0.0000 0.0000 0.0000
0.2500 0.2500 0.2500
0.5000 0.5000 0.5000
0.7500 0.7500 0.7500
```

E (eV per atom): -31.78
Volume (Å³/cell): 58.2

This record from the Alexandria database describes a crystal of Cu3SnP4O16 relaxed with PBEsol. The functional is meta-GGA SCAN.

```
Cu3SnP4O16
1.0
5.0418 0.0000 0.0000
0.0000 5.9839 0.0000
-0.5120 0.0000 9.9481
Cu Sn P O
3 1 4 16
Direct
0.0000 0.0000 0.0000
0.2281 0.0000 0.5038
0.5012 0.5000 0.8885
0.8363 0.5000 0.3999
0.3094 0.5000 0.5901
0.4298 0.0000 0.8074
0.7978 0.0000 0.2893
0.9632 0.5000 0.0795
0.0389 0.5000 0.2333
0.0968 0.0000 0.3281
0.0981 0.2994 0.0134
0.0981 0.7006 0.0134
0.1299 0.0000 0.8301
0.1421 0.3081 0.5151
0.1421 0.6919 0.5151
0.2675 0.5000 0.7393
0.4557 0.0000 0.6531
0.5847 0.1996 0.8717
0.5847 0.8004 0.8717
0.6032 0.5000 0.5613
0.6547 0.2056 0.3506
0.6547 0.7944 0.3506
0.6579 0.5000 0.0613
0.7654 0.0000 0.1359
```

E_form (uncorrected) (kJ/mol of atoms): -174
Volume (Å³/cell): 300.1

This record from the Alexandria database describes a crystal of MoHSe2Br relaxed with PBEsol. The functional is meta-GGA SCAN.

```
MoHSe2Br
1.0
3.9980 0.0000 0.0000
0.0000 3.9980 0.0000
0.0000 0.0000 5.3765
Mo H Se Br
1 1 2 1
Direct
0.0000 0.0000 0.0000
0.5000 0.5000 0.5000
0.0000 0.5000 0.5000
0.5000 0.0000 0.5000
0.5000 0.5000 0.0000
```

E (eV per atom): -18.82
Volume (Å³/cell): 85.9

Question: volume of number 1 (FeCoIr2)?
Answer: 49.3 Å³/cell